[1]
Below is a PBEsol-optimized structure of Tc2C, with properties calculated at the meta-GGA SCAN level.

Lattice parameters (Å, degrees): 3.9204 3.9204 4.5469 90.00 90.00 90.00
Closest atoms and distances in Å follow each position.
Element x y z (fractional)
Tc: 0.2500 0.2500 0.0687  1 C 1.91
Tc: 0.2500 0.7500 0.5000  4 C 2.07
Tc: 0.7500 0.2500 0.5000  4 C 2.07
Tc: 0.7500 0.7500 0.9313  1 C 1.91
C: 0.2500 0.2500 0.6476  5 Tc 1.91-2.07
C: 0.7500 0.7500 0.3524  5 Tc 1.91-2.07

Computed properties:
Calculated volume, Å³/f.u.: 34.9
Polymorph energy (0 for the lowest one), meV/atom: 350
ΔH_f (0 K), eV per atom: 0.38

[2]
Below is a PBEsol-optimized structure of NiP2Se, with properties calculated at the meta-GGA SCAN level.

Lattice parameters (Å, degrees): 4.2243 4.2243 4.2243 108.85 108.85 110.73
Closest atoms and distances in Å follow each position.
Element x y z (fractional)
Ni: 0.0000 0.0000 0.0000  2 Se 2.40, 4 P 2.46
P: 0.0000 0.5000 0.5000  2 P 2.40, 2 Se 2.46, 2 Ni 2.46
P: 0.5000 0.0000 0.5000  2 P 2.40, 2 Se 2.46, 2 Ni 2.46
Se: 0.5000 0.5000 0.0000  2 Ni 2.40, 4 P 2.46

Computed properties:
Calculated volume, Å³/f.u.: 58.0
Formation energy without anion corrections, eV/atom: 0.120

[3]
Below is a PBEsol-optimized structure of Sr2SbOs, with properties calculated at the meta-GGA SCAN level.

Lattice parameters (Å, degrees): 10.0628 10.0628 10.0628 20.20 20.20 20.20
Closest atoms and distances in Å follow each position.
Element x y z (fractional)
Sr: 0.2400 0.2400 0.2400  3 Os 2.97
Sr: 0.7600 0.7600 0.7600  3 Os 2.97
Sb: 0.0000 0.0000 0.0000  6 Sr 3.43, 6 Sb 3.53
Os: 0.5000 0.5000 0.5000  6 Sr 2.97

Computed properties:
Calculated volume, Å³/f.u.: 106.3
Formation energy without anion corrections, eV/atom: 0.422

[4]
Below is a PBEsol-optimized structure of Cr3Br, with properties calculated at the meta-GGA SCAN level.

Lattice parameters (Å, degrees): 2.9085 4.3215 4.2621 90.00 90.00 90.00
Closest atoms and distances in Å follow each position.
Element x y z (fractional)
Cr: 0.0000 0.0000 0.0000  2 Cr 2.39, 4 Br 2.51-2.65
Cr: 0.0000 0.5000 0.2419  4 Cr 2.23-2.39
Cr: 0.5000 0.5000 0.8456  2 Cr 2.23
Br: 0.5000 0.0000 0.5201  6 Cr 2.51-2.65

Computed properties:
Calculated volume, Å³/f.u.: 53.6
Polymorph energy (0 for the lowest one), meV/atom: 0
Formation energy without anion corrections, eV/atom: 0.791

[5]
Below is a PBEsol-optimized structure of Be2TlSF, with properties calculated at the meta-GGA SCAN level.

Lattice parameters (Å, degrees): 3.9050 3.9050 7.0412 90.00 90.00 90.00
Closest atoms and distances in Å follow each position.
Element x y z (fractional)
Be: 0.0000 0.5000 0.0000  2 S 1.95
Be: 0.5000 0.0000 0.0000  2 S 1.95
Tl: 0.0000 0.0000 0.5000  4 F 2.76
S: 0.0000 0.0000 0.0000  4 Be 1.95
F: 0.5000 0.5000 0.5000  4 Tl 2.76

Computed properties:
Calculated volume, Å³/f.u.: 107.4
Formation energy without anion corrections, eV/atom: -0.130

[6]
Below is a PBEsol-optimized structure of YBF2, with properties calculated at the meta-GGA SCAN level.

Lattice parameters (Å, degrees): 4.1110 4.1110 4.1110 60.00 60.00 60.00
Closest atoms and distances in Å follow each position.
Element x y z (fractional)
Y: 0.0000 0.0000 0.0000  8 F 2.52
B: 0.5000 0.5000 0.5000  8 F 2.52
F: 0.2500 0.2500 0.2500  4 B 2.52, 4 Y 2.52
F: 0.7500 0.7500 0.7500  4 B 2.52, 4 Y 2.52

Computed properties:
Calculated volume, Å³/f.u.: 49.1
Formation energy without anion corrections, eV/atom: -1.441

Copy entry 2 word for word.
Below is a PBEsol-optimized structure of NiP2Se, with properties calculated at the meta-GGA SCAN level.

Lattice parameters (Å, degrees): 4.2243 4.2243 4.2243 108.85 108.85 110.73
Closest atoms and distances in Å follow each position.
Element x y z (fractional)
Ni: 0.0000 0.0000 0.0000  2 Se 2.40, 4 P 2.46
P: 0.0000 0.5000 0.5000  2 P 2.40, 2 Se 2.46, 2 Ni 2.46
P: 0.5000 0.0000 0.5000  2 P 2.40, 2 Se 2.46, 2 Ni 2.46
Se: 0.5000 0.5000 0.0000  2 Ni 2.40, 4 P 2.46

Computed properties:
Calculated volume, Å³/f.u.: 58.0
Formation energy without anion corrections, eV/atom: 0.120